[1]
This record from the Alexandria database describes a relaxed BaSrBiSbO6 crystal. The functional is PBE.

Cell lengths 6.052, 6.077, 8.564 Å; angles 89.68, 89.48, 89.86 degrees
Fractional positions:
1 Ba 0.005 0.023 0.250
2 Ba 0.995 0.977 0.750
3 Sr 0.491 0.532 0.248
4 Sr 0.509 0.468 0.752
5 Bi 0.000 0.500 0.000
6 Bi 0.500 0.000 0.500
7 Sb 0.000 0.500 0.500
8 Sb 0.500 0.000 0.000
9 O 0.088 0.498 0.730
10 O 0.205 0.758 0.462
11 O 0.235 0.800 0.027
12 O 0.260 0.298 0.449
13 O 0.311 0.271 0.048
14 O 0.438 0.042 0.769
15 O 0.562 0.958 0.231
16 O 0.689 0.729 0.952
17 O 0.740 0.702 0.551
18 O 0.765 0.200 0.973
19 O 0.795 0.242 0.538
20 O 0.912 0.502 0.270

Computed properties:
E_tot = -6.174 eV per atom
Space group = P-1
Formation energy (no corrections) = -2038 meV/atom
Energy above the most stable polymorph in this dataset = 0 meV per atom

***

[2]
This record from the Alexandria database describes a relaxed SiP2O2 crystal. The functional is PBE.

Cell lengths 3.305, 3.305, 6.564 Å; angles 90.00, 90.00, 90.00 degrees
Fractional positions:
1 Si 0.000 0.000 0.000
2 P 0.000 0.000 0.500
3 P 0.500 0.500 0.500
4 O 0.000 0.500 0.000
5 O 0.500 0.000 0.000

Computed properties:
E_tot = -6.070 eV per atom
Space group = P4/mmm
Formation energy (no corrections) = -838 meV/atom
Energy above the most stable polymorph in this dataset = 0 meV per atom

***

[3]
This record from the Alexandria database describes a relaxed PrDyTl2 crystal. The functional is PBE.

Cell lengths 3.857, 3.857, 7.724 Å; angles 90.00, 90.00, 90.00 degrees
Fractional positions:
1 Pr 0.000 0.000 0.000
2 Dy 0.000 0.000 0.500
3 Tl 0.500 0.500 0.264
4 Tl 0.500 0.500 0.736

Computed properties:
E_tot = -3.905 eV per atom
Space group = P4/mmm
Energy above the most stable polymorph in this dataset = 0 meV per atom
ΔE_f = -0.38 eV/atom